Record 1
# Ba2YMg

A relaxed structure of Ba2YMg (PBE, Alexandria).

Summary:
Its calculated formation energy is 0.23 eV per atom. As for the spin magnetization: 0.000 μB/f.u. The value obtained for the density of states at the Fermi level is 5.60 states/eV/cell.

a b c (Å): 4.635 5.875 6.030
angles (deg): 90.00 90.00 90.00
Space group Pmmm (No. 47)
Asymmetric unit:
Ba 0.000 0.000 0.000
Ba 0.500 0.500 0.000
Y 0.000 0.500 0.500
Mg 0.500 0.000 0.500

Record 2
# Sr2Li2Zr

A relaxed structure of Sr2Li2Zr (PBE, Alexandria).

Summary:
Its calculated formation energy is 0.36 eV per atom. As for the spin magnetization: 0.000 μB/f.u. The value obtained for the density of states at the Fermi level is 5.15 states/eV/cell. Its distance to the lowest polymorph of the same formula is 0 meV per atom.

a b c (Å): 3.765 3.765 22.134
angles (deg): 90.00 90.00 90.00
Space group I4/mmm (No. 139)
Asymmetric unit:
Sr 0.000 0.000 0.111
Li 0.000 0.500 0.250
Zr 0.000 0.000 0.500

Record 3
# Li4NiPt

A relaxed structure of Li4NiPt (PBE, Alexandria).

Summary:
Its calculated formation energy is -0.06 eV per atom. As for the spin magnetization: 0.000 μB/f.u. The value obtained for the density of states at the Fermi level is 8.57 states/eV/cell.

a b c (Å): 6.646 6.646 6.646
angles (deg): 90.00 90.00 90.00
Space group F-43m (No. 216)
Asymmetric unit:
Li 0.124 0.124 0.376
Ni 0.000 0.000 0.000
Pt 0.250 0.250 0.750

Record 4
# BeAl3Mo

A relaxed structure of BeAl3Mo (PBE, Alexandria).

Summary:
Its calculated formation energy is 1.05 eV per atom. As for the spin magnetization: 0.000 μB/f.u. The value obtained for the density of states at the Fermi level is 3.40 states/eV/cell. Its distance to the lowest polymorph of the same formula is 325 meV per atom.

a b c (Å): 4.795 4.795 4.795
angles (deg): 90.00 90.00 90.00
Space group Pm-3m (No. 221)
Asymmetric unit:
Be 0.000 0.000 0.000
Al 0.000 0.500 0.500
Mo 0.500 0.500 0.500

Record 5
# Re3TcBr

A relaxed structure of Re3TcBr (PBE, Alexandria).

Summary:
As for the spin magnetization: 2.079 μB/f.u. The value obtained for the density of states at the Fermi level is 4.29 states/eV/cell. Its distance to the lowest polymorph of the same formula is 36 meV per atom. The value obtained for the formation energy without anion corrections is 2.47 eV per atom.

a b c (Å): 4.503 4.503 4.503
angles (deg): 90.00 90.00 90.00
Space group Pm-3m (No. 221)
Asymmetric unit:
Re 0.000 0.000 0.500
Tc 0.500 0.500 0.500
Br 0.000 0.000 0.000

Record 6
# CaMn2Re

A relaxed structure of CaMn2Re (PBE, Alexandria).

Summary:
Its calculated formation energy is 0.69 eV per atom. As for the spin magnetization: 6.271 μB/f.u. The value obtained for the density of states at the Fermi level is 11.67 states/eV/cell. Its distance to the lowest polymorph of the same formula is 317 meV per atom.

a b c (Å): 2.9558 2.9558 27.9154
angles (deg): 90.00 90.00 120.00
Space group R-3m (No. 166, hexagonal axes)
Asymmetric unit:
Ca 0.0000 0.0000 0.0000
Mn 0.0000 0.0000 0.2374
Re 0.0000 0.0000 0.5000